Entry 1:
# ScGaO3

A relaxed ScGaO3 crystal (PBE, the Alexandria database).

a b c (Å): 4.033 4.033 4.033
angles (deg): 90.00 90.00 90.00
Positions (direct):
Sc  0.000  0.000  0.000
O  0.000  0.500  0.000
O  0.000  0.000  0.500
O  0.500  0.000  0.000
Ga  0.500  0.500  0.500

## Properties
total magnetization	1.242	μB per formula unit
space group	Pm-3m, No. 221
uncorrected formation energy	-1.4904	eV per atom
E	-6.337	eV/atom
calculated volume	65.6	Å³/cell



Entry 2:
# SmCd4Ag

A relaxed SmCd4Ag crystal (PBE, the Alexandria database).

a b c (Å): 4.939 5.145 6.399
angles (deg): 80.36 90.01 118.69
Positions (direct):
Sm  0.004  0.500  0.498
Cd  0.698  0.887  0.233
Cd  0.310  0.112  0.764
Cd  0.635  0.761  0.760
Cd  0.373  0.238  0.237
Ag  0.004  0.499  0.998

## Properties
total magnetization	0.000	μB per formula unit
offset from the most stable computed form	0.0000	eV per atom
space group	C2/m, No. 12
energy relative to the elements	-1.173	eV per formula unit
E	-2.067	eV/atom
calculated volume	140.0	Å³/cell



Entry 3:
# CaPmY2In4

A relaxed CaPmY2In4 crystal (PBE, the Alexandria database).

a b c (Å): 5.370 5.370 9.355
angles (deg): 73.32 73.32 60.00
Positions (direct):
Ca  0.500  0.500  0.500
Pm  0.000  0.000  0.000
Y  0.752  0.752  0.745
Y  0.248  0.248  0.255
In  0.375  0.375  0.875
In  0.875  0.875  0.375
In  0.125  0.125  0.625
In  0.625  0.625  0.125

## Properties
total magnetization	0.000	μB per formula unit
space group	R-3m, No. 166
energy relative to the elements	-3.873	eV per formula unit
E	-4.313	eV/atom
calculated volume	220.4	Å³/cell



Entry 4:
# Tb3UPt12

A relaxed Tb3UPt12 crystal (PBE, the Alexandria database).

a b c (Å): 4.138 4.138 16.503
angles (deg): 90.00 90.00 90.00
Positions (direct):
Tb  0.000  0.000  0.253
Tb  0.000  0.000  0.500
Tb  0.000  0.000  0.747
U  0.000  0.000  0.000
Pt  0.500  0.500  0.000
Pt  0.500  0.500  0.249
Pt  0.500  0.500  0.500
Pt  0.500  0.500  0.751
Pt  0.500  0.000  0.121
Pt  0.500  0.000  0.375
Pt  0.500  0.000  0.625
Pt  0.500  0.000  0.879
Pt  0.000  0.500  0.121
Pt  0.000  0.500  0.375
Pt  0.000  0.500  0.625
Pt  0.000  0.500  0.879

## Properties
total magnetization	0.964	μB per formula unit
space group	P4/mmm, No. 123
energy relative to the elements	-15.534	eV per formula unit
E	-7.075	eV/atom
calculated volume	282.6	Å³/cell



Entry 5:
# Tl2NiW

A relaxed Tl2NiW crystal (PBE, the Alexandria database).

a b c (Å): 3.027 3.021 9.778
angles (deg): 62.48 90.00 90.00
Positions (direct):
Ni  0.500  0.742  0.713
Tl  0.000  0.896  0.947
Tl  0.500  0.374  0.290
W  0.000  0.488  0.549

## Properties
total magnetization	0.000	μB per formula unit
offset from the most stable computed form	0.0000	eV per atom
space group	Pm, No. 6
energy relative to the elements	2.091	eV per formula unit
E	-5.344	eV/atom
calculated volume	79.3	Å³/cell



Entry 6:
# Mg3CdCu8

A relaxed Mg3CdCu8 crystal (PBE, the Alexandria database).

a b c (Å): 5.033 5.033 7.992
angles (deg): 90.00 90.00 120.00
Positions (direct):
Mg  0.667  0.333  0.442
Mg  0.667  0.333  0.061
Mg  0.000  0.000  0.935
Cd  0.000  0.000  0.559
Cu  0.333  0.667  0.500
Cu  0.333  0.667  0.001
Cu  0.503  0.006  0.752
Cu  0.503  0.497  0.752
Cu  0.994  0.497  0.752
Cu  0.164  0.328  0.248
Cu  0.164  0.836  0.248
Cu  0.672  0.836  0.248

## Properties
total magnetization	0.000	μB per formula unit
space group	P3m1, No. 156
energy relative to the elements	-1.314	eV per formula unit
E	-3.315	eV/atom
calculated volume	175.3	Å³/cell



Entry 7:
# Pm3Zn8Hg3

A relaxed Pm3Zn8Hg3 crystal (PBE, the Alexandria database).

a b c (Å): 4.530 8.531 8.531
angles (deg): 65.55 74.60 74.60
Positions (direct):
Pm  0.500  0.500  0.500
Pm  0.802  0.198  0.198
Pm  0.198  0.802  0.802
Zn  0.648  0.084  0.619
Zn  0.352  0.916  0.381
Zn  0.648  0.619  0.084
Zn  0.352  0.381  0.916
Zn  0.830  0.803  0.537
Zn  0.170  0.197  0.463
Zn  0.830  0.537  0.803
Zn  0.170  0.463  0.197
Hg  0.500  0.000  0.000
Hg  0.000  0.780  0.220
Hg  0.000  0.220  0.780

## Properties
total magnetization	0.000	μB per formula unit
space group	Immm, No. 71
energy relative to the elements	-4.370	eV per formula unit
E	-2.123	eV/atom
calculated volume	284.8	Å³/cell



Entry 8:
# AgRh2Br

A relaxed AgRh2Br crystal (PBE, the Alexandria database).

a b c (Å): 4.907 4.907 5.001
angles (deg): 74.68 74.68 35.45
Positions (direct):
Rh  0.986  0.986  0.007
Rh  0.514  0.514  0.493
Br  0.250  0.250  0.250
Ag  0.750  0.750  0.750

## Properties
total magnetization	0.000	μB per formula unit
offset from the most stable computed form	0.2602	eV per atom
space group	C2/m, No. 12
uncorrected formation energy	0.5650	eV per atom
E	-4.242	eV/atom
calculated volume	67.1	Å³/cell



Entry 9:
# LiPmOsN3

A relaxed LiPmOsN3 crystal (PBE, the Alexandria database).

a b c (Å): 3.412 5.975 7.928
angles (deg): 90.00 90.00 106.59
Positions (direct):
Li  0.000  0.000  0.500
Li  0.000  0.000  0.000
Pm  0.709  0.417  0.750
Pm  0.291  0.583  0.250
Os  0.448  0.896  0.750
Os  0.552  0.104  0.250
N  0.647  0.294  0.435
N  0.353  0.706  0.565
N  0.353  0.706  0.935
N  0.647  0.294  0.065
N  0.048  0.095  0.750
N  0.952  0.905  0.250

## Properties
total magnetization	0.001	μB per formula unit
space group	Cmcm, No. 63
uncorrected formation energy	-0.3078	eV per atom
E	-7.453	eV/atom
calculated volume	154.9	Å³/cell



Entry 10:
# PaGaCoC

A relaxed PaGaCoC crystal (PBE, the Alexandria database).

a b c (Å): 3.658 3.658 9.012
angles (deg): 90.00 90.00 90.00
Positions (direct):
Pa  0.000  0.500  0.853
Pa  0.500  0.000  0.147
Ga  0.000  0.000  0.500
Ga  0.500  0.500  0.500
Co  0.000  0.500  0.316
Co  0.500  0.000  0.684
C  0.500  0.000  0.890
C  0.000  0.500  0.110

## Properties
total magnetization	0.000	μB per formula unit
space group	P4/nmm, No. 129
energy relative to the elements	-1.420	eV per formula unit
E	-7.568	eV/atom
calculated volume	120.6	Å³/cell



Entry 11:
# Er4GaRh

A relaxed Er4GaRh crystal (PBE, the Alexandria database).

a b c (Å): 6.784 6.866 7.070
angles (deg): 90.00 91.93 90.00
Positions (direct):
Er  0.857  0.656  0.178
Er  0.643  0.156  0.822
Er  0.328  0.340  0.347
Er  0.172  0.840  0.653
Er  0.143  0.344  0.822
Er  0.357  0.844  0.178
Er  0.672  0.660  0.653
Er  0.828  0.160  0.347
Ga  0.000  0.000  0.000
Ga  0.500  0.500  0.000
Rh  0.500  0.000  0.500
Rh  0.000  0.500  0.500

## Properties
total magnetization	0.000	μB per formula unit
offset from the most stable computed form	0.1647	eV per atom
space group	P2_1/c, No. 14
energy relative to the elements	-2.524	eV per formula unit
E	-5.192	eV/atom
calculated volume	329.1	Å³/cell



Entry 12:
# La8GaRu3Cl4

A relaxed La8GaRu3Cl4 crystal (PBE, the Alexandria database).

a b c (Å): 8.426 9.019 8.425
angles (deg): 117.87 120.00 90.00
Positions (direct):
La  0.243  0.702  0.959
La  0.243  0.702  0.486
La  0.261  0.284  0.523
La  0.716  0.702  0.959
La  0.284  0.298  0.041
La  0.739  0.716  0.477
La  0.757  0.298  0.514
La  0.757  0.298  0.041
Ga  0.000  0.500  0.000
Ru  0.500  0.500  0.000
Ru  0.500  0.500  0.500
Ru  0.000  0.500  0.500
Cl  0.500  0.000  0.000
Cl  0.500  0.000  0.500
Cl  0.000  0.000  0.000
Cl  0.000  0.000  0.500

## Properties
total magnetization	0.000	μB per formula unit
space group	R-3m, No. 166
uncorrected formation energy	-1.0413	eV per atom
E	-5.895	eV/atom
calculated volume	466.8	Å³/cell



Entry 13:
# NaHo3S4

A relaxed NaHo3S4 crystal (PBE, the Alexandria database).

a b c (Å): 5.511 5.511 5.511
angles (deg): 90.00 90.00 90.00
Positions (direct):
Na  0.000  0.000  0.000
S  0.500  0.000  0.000
S  0.000  0.500  0.000
S  0.000  0.000  0.500
S  0.500  0.500  0.500
Ho  0.000  0.500  0.500
Ho  0.500  0.000  0.500
Ho  0.500  0.500  0.000

## Properties
total magnetization	0.000	μB per formula unit
space group	Pm-3m, No. 221
uncorrected formation energy	-1.9195	eV per atom
E	-5.865	eV/atom
calculated volume	167.4	Å³/cell



Entry 14:
# TbLuTi4

A relaxed TbLuTi4 crystal (PBE, the Alexandria database).

a b c (Å): 5.779 5.779 5.779
angles (deg): 60.00 60.00 60.00
Positions (direct):
Lu  0.250  0.250  0.250
Tb  0.000  0.000  0.000
Ti  0.624  0.624  0.127
Ti  0.624  0.127  0.624
Ti  0.624  0.624  0.624
Ti  0.127  0.624  0.624

## Properties
total magnetization	9.331	μB per formula unit
space group	F-43m, No. 216
energy relative to the elements	1.420	eV per formula unit
E	-6.552	eV/atom
calculated volume	136.5	Å³/cell



Entry 15:
# MgNi2Ru2

A relaxed MgNi2Ru2 crystal (PBE, the Alexandria database).

a b c (Å): 3.739 3.739 6.004
angles (deg): 71.86 71.86 90.00
Positions (direct):
Ru  0.394  0.394  0.212
Ru  0.606  0.606  0.788
Mg  0.000  0.000  0.000
Ni  0.750  0.250  0.500
Ni  0.250  0.750  0.500

## Properties
total magnetization	0.000	μB per formula unit
offset from the most stable computed form	0.1054	eV per atom
space group	I4/mmm, No. 139
energy relative to the elements	1.476	eV per formula unit
E	-6.047	eV/atom
calculated volume	75.4	Å³/cell



Entry 16:
# PrNd2Si

A relaxed PrNd2Si crystal (PBE, the Alexandria database).

a b c (Å): 4.787 4.806 4.806
angles (deg): 90.00 90.00 90.00
Positions (direct):
Pr  0.500  0.500  0.500
Si  0.500  0.000  0.000
Nd  0.000  0.000  0.500
Nd  0.000  0.500  0.000

## Properties
total magnetization	0.000	μB per formula unit
offset from the most stable computed form	0.1123	eV per atom
space group	P4/mmm, No. 123
uncorrected formation energy	-0.2459	eV per atom
E	-5.180	eV/atom
calculated volume	110.6	Å³/cell



Entry 17:
# CePm2Tm3As6

A relaxed CePm2Tm3As6 crystal (PBE, the Alexandria database).

a b c (Å): 4.153 8.289 9.259
angles (deg): 102.77 102.96 90.00
Positions (direct):
Ce  0.500  0.000  0.000
Pm  0.833  0.665  0.665
Pm  0.167  0.335  0.335
Tm  0.500  0.500  0.000
Tm  0.832  0.167  0.665
Tm  0.168  0.833  0.335
As  0.332  0.924  0.665
As  0.664  0.590  0.328
As  0.668  0.076  0.335
As  0.998  0.253  0.995
As  0.002  0.747  0.005
As  0.336  0.410  0.672

## Properties
total magnetization	0.533	μB per formula unit
space group	C2/m, No. 12
energy relative to the elements	-17.972	eV per formula unit
E	-6.227	eV/atom
calculated volume	302.5	Å³/cell



Entry 18:
# LaDy5HoSc2

A relaxed LaDy5HoSc2 crystal (PBE, the Alexandria database).

a b c (Å): 5.484 10.215 10.463
angles (deg): 90.00 90.00 105.57
Positions (direct):
La  0.800  0.601  0.513
La  0.200  0.399  0.013
Dy  0.391  0.782  0.026
Dy  0.721  0.442  0.809
Dy  0.477  0.954  0.740
Dy  0.300  0.600  0.707
Dy  0.987  0.975  0.525
Dy  0.609  0.218  0.526
Dy  0.279  0.558  0.309
Dy  0.523  0.046  0.240
Dy  0.700  0.400  0.207
Dy  0.013  0.025  0.025
Ho  0.587  0.174  0.950
Ho  0.413  0.826  0.450
Sc  0.887  0.773  0.813
Sc  0.110  0.219  0.742
Sc  0.113  0.227  0.313
Sc  0.890  0.781  0.242

## Properties
total magnetization	0.039	μB per formula unit
space group	Cmc2_1, No. 36
energy relative to the elements	1.688	eV per formula unit
E	-4.832	eV/atom
calculated volume	564.6	Å³/cell



Entry 19:
# SrNd2SmAs4

A relaxed SrNd2SmAs4 crystal (PBE, the Alexandria database).

a b c (Å): 4.294 7.458 7.477
angles (deg): 70.60 90.00 90.00
Positions (direct):
Sr  0.500  0.500  0.000
Nd  0.000  0.000  0.000
Nd  0.500  0.000  0.500
Sm  0.000  0.500  0.500
As  0.000  0.759  0.739
As  0.000  0.241  0.261
As  0.500  0.752  0.256
As  0.500  0.248  0.744

## Properties
total magnetization	0.000	μB per formula unit
space group	P2/m, No. 10
energy relative to the elements	-10.708	eV per formula unit
E	-5.655	eV/atom
calculated volume	225.8	Å³/cell



Entry 20:
# MgTe2RuS

A relaxed MgTe2RuS crystal (PBE, the Alexandria database).

a b c (Å): 5.020 5.098 5.020
angles (deg): 90.00 90.00 90.00
Positions (direct):
Ru  0.000  0.000  0.000
S  0.500  0.500  0.500
Te  0.000  0.000  0.500
Te  0.500  0.000  0.000
Mg  0.000  0.500  0.000

## Properties
total magnetization	0.000	μB per formula unit
space group	P4/mmm, No. 123
uncorrected formation energy	0.3272	eV per atom
E	-3.929	eV/atom
calculated volume	128.5	Å³/cell